a.
InHgBr2: single point on PBEsol structure, meta-GGA SCAN.

a b c (Å): 3.9755 6.3261 9.0277
angles (deg): 90.00 90.00 90.00
Closest atoms and distances in Å follow each position.
Fractional coordinates of all 8 atoms:
In 0.0000 0.0000 0.0000  2 Br 2.78, 2 Hg 2.90
In 0.5000 0.5000 0.0000  2 Br 2.78, 2 Hg 2.90
Hg 0.0000 0.5000 0.2337  2 Br 2.72, 2 In 2.90
Hg 0.5000 0.0000 0.2337  2 Br 2.72, 2 In 2.90
Br 0.0000 0.0000 0.4391  2 Hg 2.72
Br 0.0000 0.5000 0.7843  2 In 2.78
Br 0.5000 0.0000 0.7843  2 In 2.78
Br 0.5000 0.5000 0.4391  2 Hg 2.72

b.
InHgBr2: single point on PBEsol structure, meta-GGA SCAN.

a b c (Å): 4.2746 4.2746 12.2994
angles (deg): 90.00 90.00 90.00
Closest atoms and distances in Å follow each position.
Fractional coordinates of all 8 atoms:
In 0.0000 0.0000 0.0000  4 Br 3.02
In 0.5000 0.5000 0.5000  4 Br 3.02
Hg 0.0000 0.5000 0.7500  4 Br 3.02
Hg 0.5000 0.0000 0.2500  4 Br 3.02
Br 0.0000 0.0000 0.5000  4 In 3.02
Br 0.0000 0.5000 0.2500  4 Hg 3.02
Br 0.5000 0.0000 0.7500  4 Hg 3.02
Br 0.5000 0.5000 0.0000  4 In 3.02

Result of the stability comparison: a is the most stable of them.

a.
CdSbMo2: single point on PBEsol structure, meta-GGA SCAN.

a b c (Å): 3.0415 3.0415 26.7744
angles (deg): 90.00 90.00 120.00
Closest atoms and distances in Å follow each position.
Fractional coordinates of all 12 atoms:
Cd 0.0000 0.0000 0.0000  6 Mo 2.92, 6 Cd 3.04
Cd 0.3333 0.6667 0.6667  6 Mo 2.92, 6 Cd 3.04
Cd 0.6667 0.3333 0.3333  6 Mo 2.92, 6 Cd 3.04
Sb 0.0000 0.0000 0.5000  6 Mo 2.76, 6 Sb 3.04
Sb 0.3333 0.6667 0.1667  6 Mo 2.76, 6 Sb 3.04
Sb 0.6667 0.3333 0.8333  6 Mo 2.76, 6 Sb 3.04
Mo 0.0000 0.0000 0.2462  3 Sb 2.76, 3 Cd 2.92, 6 Mo 3.04
Mo 0.0000 0.0000 0.7538  3 Sb 2.76, 3 Cd 2.92, 6 Mo 3.04
Mo 0.3333 0.6667 0.4205  3 Sb 2.76, 3 Cd 2.92, 6 Mo 3.04
Mo 0.3333 0.6667 0.9128  3 Sb 2.76, 3 Cd 2.92, 6 Mo 3.04
Mo 0.6667 0.3333 0.0872  3 Sb 2.76, 3 Cd 2.92, 6 Mo 3.04
Mo 0.6667 0.3333 0.5795  3 Sb 2.76, 3 Cd 2.92, 6 Mo 3.04

b.
CdSbMo2: single point on PBEsol structure, meta-GGA SCAN.

a b c (Å): 4.1005 4.1005 8.2982
angles (deg): 90.00 90.00 90.00
Closest atoms and distances in Å follow each position.
Fractional coordinates of all 8 atoms:
Cd 0.0000 0.0000 0.0000  8 Mo 2.90-2.92, 4 Sb 2.92
Cd 0.5000 0.5000 0.5000  8 Mo 2.90-2.92, 4 Sb 2.92
Sb 0.0000 0.5000 0.7500  8 Mo 2.90-2.92, 4 Cd 2.92
Sb 0.5000 0.0000 0.2500  8 Mo 2.90-2.92, 4 Cd 2.92
Mo 0.0000 0.0000 0.5000  4 Cd 2.90, 4 Mo 2.92, 4 Sb 2.92
Mo 0.0000 0.5000 0.2500  4 Sb 2.90, 4 Cd 2.92, 4 Mo 2.92
Mo 0.5000 0.0000 0.7500  4 Sb 2.90, 4 Cd 2.92, 4 Mo 2.92
Mo 0.5000 0.5000 0.0000  4 Cd 2.90, 4 Mo 2.92, 4 Sb 2.92

Result of the stability comparison: b is the most stable of them.

a.
Al2SbCl: single point on PBEsol structure, meta-GGA SCAN.

a b c (Å): 3.5734 5.2764 8.7984
angles (deg): 90.00 90.00 90.00
Closest atoms and distances in Å follow each position.
Fractional coordinates of all 8 atoms:
Al 0.0000 0.0000 0.2357  2 Cl 2.74, 2 Sb 2.93
Al 0.0000 0.0000 0.7643  2 Cl 2.74, 2 Sb 2.93
Al 0.5000 0.5000 0.2357  2 Cl 2.74, 2 Sb 2.93
Al 0.5000 0.5000 0.7643  2 Cl 2.74, 2 Sb 2.93
Sb 0.0000 0.5000 0.5000  4 Al 2.93, 4 Sb 3.19
Sb 0.5000 0.0000 0.5000  4 Al 2.93, 4 Sb 3.19
Cl 0.0000 0.5000 0.0000  4 Al 2.74
Cl 0.5000 0.0000 0.0000  4 Al 2.74

b.
Al2SbCl: single point on PBEsol structure, meta-GGA SCAN.

a b c (Å): 3.1608 4.5468 11.8560
angles (deg): 90.00 90.00 90.00
Closest atoms and distances in Å follow each position.
Fractional coordinates of all 8 atoms:
Al 0.0000 0.0000 0.0000  2 Al 2.80, 4 Sb 3.00
Al 0.0000 0.5000 0.3051  4 Cl 2.77, 2 Al 2.80, 2 Sb 2.93
Al 0.5000 0.0000 0.8051  4 Cl 2.77, 2 Al 2.80, 2 Sb 2.93
Al 0.5000 0.5000 0.5000  2 Al 2.80, 4 Sb 3.00
Sb 0.0000 0.0000 0.5966  6 Al 2.93-3.00, 2 Sb 3.16
Sb 0.5000 0.5000 0.0966  6 Al 2.93-3.00, 2 Sb 3.16
Cl 0.0000 0.5000 0.8142  4 Al 2.77
Cl 0.5000 0.0000 0.3142  4 Al 2.77

Result of the stability comparison: b is the most stable of them.

a.
SrCa2La: single point on PBEsol structure, meta-GGA SCAN.

a b c (Å): 4.2161 6.1609 12.6015
angles (deg): 90.00 90.00 90.00
Closest atoms and distances in Å follow each position.
Fractional coordinates of all 8 atoms:
Sr 0.0000 0.0000 0.0000  4 Sr 3.73, 2 La 3.82, 2 Ca 3.90
Sr 0.5000 0.5000 0.0000  4 Sr 3.73, 2 La 3.82, 2 Ca 3.90
Ca 0.0000 0.0000 0.5073  2 La 3.69, 6 Ca 3.73-3.76
Ca 0.0000 0.5000 0.2604  6 Ca 3.73-3.76, 2 Sr 3.90
Ca 0.5000 0.0000 0.2604  6 Ca 3.73-3.76, 2 Sr 3.90
Ca 0.5000 0.5000 0.5073  2 La 3.69, 6 Ca 3.73-3.76
La 0.0000 0.5000 0.7472  2 Ca 3.69, 4 La 3.73, 2 Sr 3.82
La 0.5000 0.0000 0.7472  2 Ca 3.69, 4 La 3.73, 2 Sr 3.82

b.
SrCa2La: single point on PBEsol structure, meta-GGA SCAN.

a b c (Å): 8.6703 8.6703 8.6703
angles (deg): 90.00 90.00 90.00
Closest atoms and distances in Å follow each position.
Fractional coordinates of all 16 atoms:
Sr 0.0000 0.0000 0.0000  4 La 3.75, 4 Ca 3.75
Sr 0.0000 0.5000 0.5000  4 La 3.75, 4 Ca 3.75
Sr 0.5000 0.0000 0.5000  4 La 3.75, 4 Ca 3.75
Sr 0.5000 0.5000 0.0000  4 La 3.75, 4 Ca 3.75
Ca 0.0000 0.0000 0.5000  4 La 3.75, 4 Ca 3.75
Ca 0.0000 0.5000 0.0000  4 La 3.75, 4 Ca 3.75
Ca 0.2500 0.2500 0.7500  4 Ca 3.75, 4 Sr 3.75
Ca 0.2500 0.7500 0.2500  4 Ca 3.75, 4 Sr 3.75
Ca 0.5000 0.0000 0.0000  4 La 3.75, 4 Ca 3.75
Ca 0.5000 0.5000 0.5000  4 La 3.75, 4 Ca 3.75
Ca 0.7500 0.2500 0.2500  4 Ca 3.75, 4 Sr 3.75
Ca 0.7500 0.7500 0.7500  4 Ca 3.75, 4 Sr 3.75
La 0.2500 0.2500 0.2500  4 Ca 3.75, 4 Sr 3.75
La 0.2500 0.7500 0.7500  4 Ca 3.75, 4 Sr 3.75
La 0.7500 0.2500 0.7500  4 Ca 3.75, 4 Sr 3.75
La 0.7500 0.7500 0.2500  4 Ca 3.75, 4 Sr 3.75

Result of the stability comparison: a is the most stable of them.

a.
LiCu2Ni: single point on PBEsol structure, meta-GGA SCAN.

a b c (Å): 5.6033 5.6033 5.6033
angles (deg): 90.00 90.00 90.00
Closest atoms and distances in Å follow each position.
Fractional coordinates of all 16 atoms:
Li 0.0000 0.0000 0.0000  8 Cu 2.43
Li 0.0000 0.5000 0.5000  8 Cu 2.43
Li 0.5000 0.0000 0.5000  8 Cu 2.43
Li 0.5000 0.5000 0.0000  8 Cu 2.43
Cu 0.2500 0.2500 0.2500  4 Li 2.43, 4 Ni 2.43
Cu 0.2500 0.2500 0.7500  4 Li 2.43, 4 Ni 2.43
Cu 0.2500 0.7500 0.2500  4 Li 2.43, 4 Ni 2.43
Cu 0.2500 0.7500 0.7500  4 Li 2.43, 4 Ni 2.43
Cu 0.7500 0.2500 0.2500  4 Li 2.43, 4 Ni 2.43
Cu 0.7500 0.2500 0.7500  4 Li 2.43, 4 Ni 2.43
Cu 0.7500 0.7500 0.2500  4 Li 2.43, 4 Ni 2.43
Cu 0.7500 0.7500 0.7500  4 Li 2.43, 4 Ni 2.43
Ni 0.0000 0.0000 0.5000  8 Cu 2.43
Ni 0.0000 0.5000 0.0000  8 Cu 2.43
Ni 0.5000 0.0000 0.0000  8 Cu 2.43
Ni 0.5000 0.5000 0.5000  8 Cu 2.43

b.
LiCu2Ni: single point on PBEsol structure, meta-GGA SCAN.

a b c (Å): 2.5519 4.1012 4.2145
angles (deg): 90.00 90.00 90.00
Closest atoms and distances in Å follow each position.
Fractional coordinates of all 4 atoms:
Li 0.0000 0.0000 0.0000  8 Cu 2.43-2.49, 2 Li 2.55, 2 Ni 2.60
Cu 0.5000 0.0000 0.4919  4 Li 2.43-2.49, 4 Ni 2.46, 4 Cu 2.55-2.60
Cu 0.5000 0.5000 0.8713  4 Ni 2.44-2.49, 4 Li 2.48, 4 Cu 2.55-2.60
Ni 0.0000 0.5000 0.3785  8 Cu 2.44-2.49, 2 Ni 2.55, 2 Li 2.60

Result of the stability comparison: b is the most stable of them.

a.
MgSc3: single point on PBEsol structure, meta-GGA SCAN.

a b c (Å): 3.2007 4.5877 6.3807
angles (deg): 90.00 90.00 90.00
Closest atoms and distances in Å follow each position.
Fractional coordinates of all 4 atoms:
Mg 0.0000 0.0000 0.0000  10 Sc 3.19-3.24, 2 Mg 3.20
Sc 0.0000 0.0000 0.5000  2 Mg 3.19, 10 Sc 3.20
Sc 0.5000 0.5000 0.2560  8 Sc 3.11-3.27, 4 Mg 3.24
Sc 0.5000 0.5000 0.7440  8 Sc 3.11-3.27, 4 Mg 3.24

b.
MgSc3: single point on PBEsol structure, meta-GGA SCAN.

a b c (Å): 4.5316 4.5316 4.5316
angles (deg): 90.00 90.00 90.00
Closest atoms and distances in Å follow each position.
Fractional coordinates of all 4 atoms:
Mg 0.0000 0.0000 0.0000  12 Sc 3.20
Sc 0.0000 0.5000 0.5000  4 Mg 3.20, 8 Sc 3.20
Sc 0.5000 0.0000 0.5000  4 Mg 3.20, 8 Sc 3.20
Sc 0.5000 0.5000 0.0000  4 Mg 3.20, 8 Sc 3.20

Result of the stability comparison: b is the most stable of them.